This record from Alexandria via LeMat-Bulk describes a relaxed structure of Na5Tl4Pt. The functional is PBE.

```
Na5Tl4Pt
1.0
9.6084 -1.7344 0.0000
9.6084 1.7344 0.0000
-4.7569 0.0000 8.6626
Na Tl Pt
5 4 1
Direct
0.0000 0.0000 0.0000
0.3223 0.3223 0.9516
0.3540 0.3540 0.3703
0.6460 0.6460 0.6297
0.6777 0.6777 0.0484
0.1738 0.1738 0.3477
0.4968 0.4968 0.2717
0.5032 0.5032 0.7283
0.8262 0.8262 0.6523
0.0000 0.0000 0.5000
```

Results
Space-group type: C2/m (12)
Energy, eV/f.u.: -22.997

This record from Alexandria via LeMat-Bulk describes a relaxed structure of Cs8AuClO2. The functional is PBE.

```
Cs8AuClO2
1.0
9.1541 0.0000 0.0000
-4.5770 7.9277 0.0000
0.0000 0.0000 10.4224
Cs Au Cl O
8 1 1 2
Direct
0.1701 0.3401 0.2726
0.1701 0.8299 0.2726
0.3333 0.6667 0.9443
0.3401 0.1701 0.7274
0.6599 0.8299 0.2726
0.6667 0.3333 0.0557
0.8299 0.1701 0.7274
0.8299 0.6599 0.7274
0.0000 0.0000 0.0000
0.0000 0.0000 0.5000
0.3333 0.6667 0.1921
0.6667 0.3333 0.8079
```

Results
Space-group type: P-3m1 (164)
Energy, eV/f.u.: -32.036

This record from Alexandria via LeMat-Bulk describes a relaxed structure of AcDyEr2S4. The functional is PBE.

```
AcDyEr2S4
1.0
6.8695 0.0000 0.0000
0.0000 3.9219 0.0000
-2.2492 0.0000 6.6826
Ac Dy Er S
1 1 2 4
Direct
0.0000 0.0000 0.0000
0.5000 0.5000 0.0000
0.0000 0.5000 0.5000
0.5000 0.0000 0.5000
0.2567 0.0000 0.7350
0.2704 0.5000 0.2746
0.7296 0.5000 0.7254
0.7433 0.0000 0.2650
```

Results
Space-group type: P2/m (10)
Energy, eV/f.u.: -49.825

This record from Alexandria via LeMat-Bulk describes a relaxed structure of Pa2TiGe4Rh3. The functional is PBE.

```
Pa2TiGe4Rh3
1.0
4.0065 0.0000 0.0000
0.0000 4.0065 0.0000
0.0000 0.0000 11.3143
Pa Ti Ge Rh
2 1 4 3
Direct
0.0000 0.5000 0.2428
0.5000 0.0000 0.7572
0.0000 0.0000 0.5000
0.0000 0.0000 0.0000
0.0000 0.5000 0.6419
0.5000 0.0000 0.3581
0.5000 0.5000 0.0000
0.0000 0.5000 0.8561
0.5000 0.0000 0.1439
0.5000 0.5000 0.5000
```

Results
Space-group type: P-4m2 (115)
Energy, eV/f.u.: -74.213

This record from Alexandria via LeMat-Bulk describes a relaxed structure of CeNdHg4. The functional is PBE.

```
CeNdHg4
1.0
0.0000 4.2683 4.2683
4.2683 0.0000 4.2683
4.2683 4.2683 0.0000
Ce Nd Hg
1 1 4
Direct
0.0000 0.0000 0.0000
0.2500 0.2500 0.2500
0.1250 0.6250 0.6250
0.6250 0.1250 0.6250
0.6250 0.6250 0.1250
0.6250 0.6250 0.6250
```

Results
Energy above the most stable polymorph in this dataset, eV/atom: 0.1662
Space-group type: F-43m (216)

This record from Alexandria via LeMat-Bulk describes a relaxed structure of Pr2MgZr. The functional is PBE.

```
Pr2MgZr
1.0
5.7187 0.0000 0.0000
0.0000 5.7187 0.0000
0.0000 0.0000 3.5689
Pr Mg Zr
2 1 1
Direct
0.0000 0.5000 0.0000
0.5000 0.0000 0.0000
0.0000 0.0000 0.5000
0.5000 0.5000 0.5000
```

Results
Energy above the most stable polymorph in this dataset, eV/atom: 0.0636
Space-group type: P4/mmm (123)

This record from Alexandria via LeMat-Bulk describes a relaxed structure of KLiSiP2. The functional is PBE.

```
KLiSiP2
1.0
6.4647 -1.8924 0.0000
6.4647 1.8924 0.0000
-1.5380 0.0000 9.1717
K Li Si P
2 2 2 4
Direct
0.1474 0.1474 0.1565
0.8526 0.8526 0.8435
0.1927 0.1927 0.5704
0.8073 0.8073 0.4296
0.4435 0.4435 0.3439
0.5565 0.5565 0.6561
0.1128 0.1128 0.7968
0.3847 0.3847 0.5632
0.6153 0.6153 0.4368
0.8872 0.8872 0.2032
```

Results
Space-group type: C2/m (12)
Energy, eV/f.u.: -21.580

This record from Alexandria via LeMat-Bulk describes a relaxed structure of NaNbCl6. The functional is PBE.

```
NaNbCl6
1.0
3.3211 -6.1127 0.0000
3.3211 6.1127 0.0000
-1.8997 0.0000 6.3055
Na Nb Cl
1 1 6
Direct
0.0000 0.0000 0.0000
0.5000 0.5000 0.5000
0.1510 0.4289 0.2834
0.2727 0.2727 0.7200
0.4289 0.1510 0.2834
0.5711 0.8490 0.7166
0.7273 0.7273 0.2800
0.8490 0.5711 0.7166
```

Results
Energy above the most stable polymorph in this dataset, eV/atom: 0.0193
Space-group type: C2/m (12)

This record from Alexandria via LeMat-Bulk describes a relaxed structure of Ca4Ce3TiN8. The functional is PBE.

```
Ca4Ce3TiN8
1.0
3.4761 2.0069 5.6622
-3.4761 2.0069 5.6622
0.0000 -4.0139 5.6622
Ca Ce Ti N
4 3 1 8
Direct
0.0000 0.0000 0.0000
0.0000 0.5000 0.5000
0.5000 0.0000 0.5000
0.5000 0.5000 0.0000
0.0000 0.0000 0.5000
0.0000 0.5000 0.0000
0.5000 0.0000 0.0000
0.5000 0.5000 0.5000
0.2412 0.2412 0.2412
0.2579 0.7285 0.7285
0.2715 0.2715 0.7421
0.2715 0.7421 0.2715
0.7285 0.2579 0.7285
0.7285 0.7285 0.2579
0.7421 0.2715 0.2715
0.7588 0.7588 0.7588
```

Results
Space-group type: R-3m (166)
Energy, eV/f.u.: -120.666

This record from Alexandria via LeMat-Bulk describes a relaxed structure of CdAgRu2. The functional is PBE.

```
CdAgRu2
1.0
1.4267 -2.3746 0.0000
1.4267 2.3746 0.0000
0.0000 0.0000 9.7684
Cd Ag Ru
1 1 2
Direct
0.0000 0.0000 0.0000
0.0000 0.0000 0.5000
0.5000 0.5000 0.2503
0.5000 0.5000 0.7497
```

Results
Space-group type: Cmmm (65)
Energy, eV/f.u.: -20.022

This record from Alexandria via LeMat-Bulk describes a relaxed structure of Sm4ZnTe3. The functional is PBE.

```
Sm4ZnTe3
1.0
4.5145 -6.2284 0.0000
4.5145 6.2284 0.0000
0.0000 0.0000 4.2917
Sm Zn Te
4 1 3
Direct
0.2348 0.2348 0.5000
0.2407 0.7593 0.0000
0.7593 0.2407 0.0000
0.7652 0.7652 0.5000
0.0000 0.0000 0.0000
0.0000 0.5000 0.5000
0.5000 0.0000 0.5000
0.5000 0.5000 0.0000
```

Results
Space-group type: Cmmm (65)
Energy, eV/f.u.: -38.572

This record from Alexandria via LeMat-Bulk describes a relaxed structure of Rb2LiCoSn. The functional is PBE.

```
Rb2LiCoSn
1.0
6.3195 0.0000 0.0000
0.0000 6.3195 0.0000
0.0000 0.0000 5.1548
Rb Li Co Sn
2 1 1 1
Direct
0.0000 0.5000 0.0000
0.5000 0.0000 0.0000
0.0000 0.0000 0.0000
0.5000 0.5000 0.5000
0.0000 0.0000 0.5000
```

Results
Space-group type: P4/mmm (123)
Energy, eV/f.u.: -11.139